(1)
Below is crystalline Cs3KV2F9 at its relaxed geometry, with properties calculated at the PBE+U level.

Summary:
- D(E_F) (states/eV per cell) = 8.92
- total DFT energy (no corrections) (eV/atom) = -5.1639
- magnetization (μB per atom) = 0.33

Cell: 6.3332 6.3332 7.8651 Å, 90.00 90.00 120.00°
With the nearest neighbours (Å) after each atom.
Space group P-3m1 (No. 164)
Asymmetric unit:
Cs: 0.0000 0.0000 0.0000  12 F 3.08-3.17
Cs: 0.3333 0.6667 0.6548  12 F 3.20-3.27
K: 0.0000 0.0000 0.5000  6 F 2.59
V: 0.3333 0.6667 0.1456  6 F 2.01-2.16
F: 0.0000 0.5000 0.0000  2 V 2.16
F: 0.1851 0.3702 0.2952  1 V 2.01

---

(2)
Below is crystalline Cs3K2VF9 at its relaxed geometry, with properties calculated at the PBE+U level.

Summary:
- D(E_F) (states/eV per cell) = 0.00
- total DFT energy (no corrections) (eV/atom) = -4.7365
- magnetization (μB per atom) = 0.08

Cell: 6.7566 6.7566 8.1522 Å, 90.00 90.00 120.00°
With the nearest neighbours (Å) after each atom.
Space group P-3m1 (No. 164)
Asymmetric unit:
Cs: 0.0000 0.0000 0.0000  12 F 3.38-3.39
Cs: 0.3333 0.6667 0.7324  3 F 2.93
K: 0.3333 0.6667 0.1975  6 F 2.53-2.73
V: 0.0000 0.0000 0.5000  6 F 1.89
F: 0.0000 0.5000 0.0000  2 K 2.53
F: 0.1334 0.2668 0.3692  1 V 1.89